VASP calculation (PBE) on a geometry-optimized PaCuTcPd structure.

Cell lengths 4.599, 4.599, 4.599 Å; angles 60.00, 60.00, 60.00 degrees
Atoms (fractional coordinates):
Tc  0.500  0.500  0.500
Pa  0.750  0.750  0.750
Cu  0.250  0.250  0.250
Pd  0.000  0.000  0.000

Properties
**SG**: F-43m (216)
**Energy relative to the elements**: -0.139 eV/atom
**Total energy**: -29.71 eV for the cell shown